A.
This record from Alexandria describes Pr3RuRh after structural relaxation. The functional is GGA-PBE.

```
10
Lattice="7.7964 0.0000 0.0000 0.0000 4.1904 0.0000 -2.4206 0.0000 8.0650" Properties=species:S:1:pos:R:3 pbc="T T T"
Pr 0.1655 1.0476 2.0059
Pr 0.1789 1.0476 7.5903
Pr 1.3801 3.1428 4.8613
Pr 3.9957 1.0476 3.2037
Pr 5.1969 3.1428 0.4748
Pr 5.2103 3.1428 6.0591
Ru 2.4107 3.1428 1.7019
Ru 2.9651 1.0476 6.3631
Rh -0.9009 1.0476 4.9075
Rh 6.2767 3.1428 3.1576
```

Results
**Total magnetic moment**: 0.00 Bohr magnetons per cell
**Fermi-level density of states**: 7.2 states/eV/cell
**Crystal system**: monoclinic



B.
This record from Alexandria describes Pr3RuRh after structural relaxation. The functional is GGA-PBE.

```
10
Lattice="6.6865 -2.0260 0.0000 6.6865 2.0260 0.0000 -1.5701 0.0000 10.0461" Properties=species:S:1:pos:R:3 pbc="T T T"
Pr 0.7048 0.0000 3.9431
Pr 4.3613 0.0000 2.7800
Pr 3.5816 0.0000 9.0958
Pr 8.2212 0.0000 0.9503
Pr 7.4415 0.0000 7.2661
Pr 11.0979 0.0000 6.1030
Ru 2.5193 0.0000 6.2117
Ru 9.2835 0.0000 3.8344
Rh -0.8928 0.0000 8.7748
Rh 12.6955 0.0000 1.2713
```

Results
**Total magnetic moment**: 0.00 Bohr magnetons per cell
**Fermi-level density of states**: 6.7 states/eV/cell
**Crystal system**: monoclinic



The most stable arrangement is A, and the next structure is 1.6 kJ/mol of atoms less stable.



A.
This record from Alexandria describes PrSbRh3 after structural relaxation. The functional is GGA-PBE.

```
10
Lattice="3.0129 -6.2534 0.0000 3.0129 6.2534 0.0000 0.0000 0.0000 5.1575" Properties=species:S:1:pos:R:3 pbc="T T T"
Pr 3.0129 5.0279 3.8681
Pr 3.0129 -5.0279 1.2894
Sb 3.0129 2.3082 1.2894
Sb 3.0129 -2.3082 3.8681
Rh 1.6726 2.0229 3.8681
Rh 1.6726 -2.0229 1.2894
Rh 3.0129 0.0000 0.0000
Rh 3.0129 0.0000 2.5787
Rh 4.3532 2.0229 3.8681
Rh 4.3532 -2.0229 1.2894
```

Results
**Total magnetic moment**: 0.00 Bohr magnetons per cell
**Fermi-level density of states**: 6.4 states/eV/cell
**Crystal system**: orthorhombic



B.
This record from Alexandria describes PrSbRh3 after structural relaxation. The functional is GGA-PBE.

```
10
Lattice="-2.7982 3.8900 4.5127 2.7982 -3.8900 4.5127 2.7982 3.8900 -4.5127" Properties=species:S:1:pos:R:3 pbc="T T T"
Pr 0.0000 1.9450 0.0894
Pr 2.7982 1.9450 4.4232
Sb 2.7982 0.0000 0.0000
Sb 0.0000 0.0000 4.5127
Rh 2.7982 1.9450 -1.7458
Rh 1.3991 4.2676 -2.2563
Rh 1.3991 0.3776 2.2563
Rh -1.3991 3.5124 2.2563
Rh 1.3991 3.5124 2.2563
Rh 0.0000 1.9450 6.2585
```

Results
**Total magnetic moment**: 0.00 Bohr magnetons per cell
**Fermi-level density of states**: 4.2 states/eV/cell
**Crystal system**: orthorhombic



The most stable arrangement is A, and the next structure is 2.3 kJ/mol of atoms less stable.



A.
This record from Alexandria describes PrSc2Rh after structural relaxation. The functional is GGA-PBE.

```
4
Lattice="2.1805 1.2589 6.2852 -2.1805 1.2589 6.2852 0.0000 -2.5178 6.2852" Properties=species:S:1:pos:R:3 pbc="T T T"
Pr 0.0000 0.0000 0.0000
Sc 0.0000 0.0000 4.0019
Sc 0.0000 0.0000 8.4764
Rh 0.0000 0.0000 15.5632
```

Results
**Total magnetic moment**: 0.00 Bohr magnetons per cell
**Fermi-level density of states**: 3.2 states/eV/cell
**Crystal system**: trigonal



B.
This record from Alexandria describes PrSc2Rh after structural relaxation. The functional is GGA-PBE.

```
4
Lattice="1.7848 1.0305 9.1280 -1.7848 1.0305 9.1280 0.0000 -2.0609 9.1280" Properties=species:S:1:pos:R:3 pbc="T T T"
Pr 0.0000 0.0000 0.0000
Sc 0.0000 0.0000 6.1773
Sc 0.0000 0.0000 21.2068
Rh 0.0000 0.0000 13.6921
```

Results
**Total magnetic moment**: 0.00 Bohr magnetons per cell
**Fermi-level density of states**: 3.6 states/eV/cell
**Crystal system**: trigonal



C.
This record from Alexandria describes PrSc2Rh after structural relaxation. The functional is GGA-PBE.

```
4
Lattice="3.3176 0.0000 0.0000 0.0000 3.3176 0.0000 0.0000 0.0000 8.3875" Properties=species:S:1:pos:R:3 pbc="T T T"
Pr 0.0000 0.0000 0.0000
Sc 1.6588 1.6588 2.6487
Sc 1.6588 1.6588 5.7388
Rh 0.0000 0.0000 4.1938
```

Results
**Total magnetic moment**: 0.00 Bohr magnetons per cell
**Fermi-level density of states**: 4.6 states/eV/cell
**Crystal system**: tetragonal



The most stable arrangement is C, and the next structure is 10.8 kJ/mol of atoms less stable.



A.
This record from Alexandria describes Pr2RhSe after structural relaxation. The functional is GGA-PBE.

```
4
Lattice="2.0671 1.1934 7.3353 -2.0671 1.1934 7.3353 0.0000 -2.3868 7.3353" Properties=species:S:1:pos:R:3 pbc="T T T"
Pr 0.0000 0.0000 5.3499
Pr 0.0000 0.0000 16.6561
Rh 0.0000 0.0000 11.0030
Se 0.0000 0.0000 0.0000
```

Results
**Total magnetic moment**: 0.00 Bohr magnetons per cell
**Fermi-level density of states**: 2.2 states/eV/cell
**Crystal system**: trigonal



B.
This record from Alexandria describes Pr2RhSe after structural relaxation. The functional is GGA-PBE.

```
4
Lattice="3.6209 0.0000 0.0000 0.0000 3.6209 0.0000 0.0000 0.0000 7.4055" Properties=species:S:1:pos:R:3 pbc="T T T"
Pr 0.0000 0.0000 1.7504
Pr 0.0000 0.0000 5.6551
Rh 1.8104 1.8104 0.0000
Se 1.8104 1.8104 3.7028
```

Results
**Total magnetic moment**: 0.00 Bohr magnetons per cell
**Fermi-level density of states**: 1.7 states/eV/cell
**Crystal system**: tetragonal



C.
This record from Alexandria describes Pr2RhSe after structural relaxation. The functional is GGA-PBE.

```
4
Lattice="2.0566 1.1874 7.4827 -2.0566 1.1874 7.4827 0.0000 -2.3748 7.4827" Properties=species:S:1:pos:R:3 pbc="T T T"
Pr 0.0000 0.0000 0.0000
Pr 0.0000 0.0000 4.1240
Rh 0.0000 0.0000 13.2796
Se 0.0000 0.0000 9.5390
```

Results
**Total magnetic moment**: 0.00 Bohr magnetons per cell
**Fermi-level density of states**: 2.6 states/eV/cell
**Crystal system**: trigonal



D.
This record from Alexandria describes Pr2RhSe after structural relaxation. The functional is GGA-PBE.

```
8
Lattice="2.0392 -11.6951 0.0000 2.0392 11.6951 0.0000 0.0000 0.0000 4.3475" Properties=species:S:1:pos:R:3 pbc="T T T"
Pr 2.0392 10.2612 3.2606
Pr 2.0392 4.0843 3.2606
Pr 2.0392 -4.0843 1.0869
Pr 2.0392 -10.2612 1.0869
Rh 2.0392 1.0432 3.2606
Rh 2.0392 -1.0432 1.0869
Se 2.0392 7.2085 3.2606
Se 2.0392 -7.2085 1.0869
```

Results
**Total magnetic moment**: 0.00 Bohr magnetons per cell
**Fermi-level density of states**: 5.3 states/eV/cell
**Crystal system**: orthorhombic



The most stable arrangement is D, and the next structure is 3.4 kJ/mol of atoms less stable.